1.
Here is a geometry-optimized PrTmPd structure from the Open Quantum Materials Database. Energies are from PBE.

Its energy above the most stable polymorph in this dataset is 0 meV per atom. As for the crystal system: cubic. Its calculated formation energy is -0.4307 eV per atom.

The structure in extended XYZ format:
```
3
Lattice="0.000 3.493 3.493 3.493 0.000 3.493 3.493 3.493 0.000" Properties=species:S:1:pos:R:3 pbc="T T T"
Pr 0.000 0.000 0.000
Tm 3.493 3.493 3.493
Pd 1.746 1.746 1.746
```

2.
Here is a geometry-optimized PrPdW structure from the Open Quantum Materials Database. Energies are from PBE.

Its energy above the most stable polymorph in this dataset is 0 meV per atom. As for the crystal system: cubic. Its calculated formation energy is 0.8174 eV per atom.

The structure in extended XYZ format:
```
3
Lattice="0.000 3.300 3.300 3.300 0.000 3.300 3.300 3.300 0.000" Properties=species:S:1:pos:R:3 pbc="T T T"
Pr 0.000 0.000 0.000
Pd 1.650 1.650 1.650
W 3.300 3.300 3.300
```

3.
Here is a geometry-optimized PrPdW structure from the Open Quantum Materials Database. Energies are from PBE.

Its energy above the most stable polymorph in this dataset is 577 meV per atom. As for the crystal system: cubic. Its calculated formation energy is 1.3946 eV per atom.

The structure in extended XYZ format:
```
3
Lattice="0.000 3.358 3.358 3.358 0.000 3.358 3.358 3.358 0.000" Properties=species:S:1:pos:R:3 pbc="T T T"
Pr 0.000 0.000 0.000
Pd 5.037 5.037 5.037
W 1.679 1.679 1.679
```

4.
Here is a geometry-optimized PrYPd structure from the Open Quantum Materials Database. Energies are from PBE.

As for the crystal system: cubic. Its calculated formation energy is -0.4017 eV per atom.

The structure in extended XYZ format:
```
3
Lattice="0.000 3.519 3.519 3.519 0.000 3.519 3.519 3.519 0.000" Properties=species:S:1:pos:R:3 pbc="T T T"
Pr 0.000 0.000 0.000
Y 3.519 3.519 3.519
Pd 1.759 1.759 1.759
```

5.
Here is a geometry-optimized PrYPd2 structure from the Open Quantum Materials Database. Energies are from PBE.

As for the crystal system: orthorhombic. Its calculated formation energy is -0.8466 eV per atom.

The structure in extended XYZ format:
```
4
Lattice="4.640 0.000 0.000 0.000 1.902 5.380 0.000 -1.902 5.380" Properties=species:S:1:pos:R:3 pbc="T T T"
Pr 0.000 0.000 0.000
Y 2.320 0.000 2.956
Pd 0.000 0.000 7.811
Pd 2.320 0.000 5.968
```

6.
Here is a geometry-optimized Pr2Zn3Pd4 structure from the Open Quantum Materials Database. Energies are from PBE.

As for the crystal system: orthorhombic. Its calculated formation energy is -0.6932 eV per atom.

The structure in extended XYZ format:
```
18
Lattice="2.837 -7.854 0.000 2.837 7.854 0.000 0.000 0.000 7.687" Properties=species:S:1:pos:R:3 pbc="T T T"
Pr 2.837 6.055 7.079
Pr 2.837 1.799 3.235
Pr 2.837 -1.799 4.451
Pr 2.837 -6.055 0.608
Zn 0.000 0.000 3.843
Zn 1.419 3.565 5.765
Zn 1.419 -3.565 1.922
Zn 2.837 0.000 0.000
Zn 4.256 3.565 5.765
Zn 4.256 -3.565 1.922
Pd 2.837 5.063 4.006
Pd 1.419 0.945 5.765
Pd 1.419 -0.945 1.922
Pd 2.837 2.791 0.163
Pd 2.837 -2.791 7.523
Pd 4.256 0.945 5.765
Pd 4.256 -0.945 1.922
Pd 2.837 -5.063 3.680
```

7.
Here is a geometry-optimized Pd2Pt structure from the Open Quantum Materials Database. Energies are from PBE.

Its energy above the most stable polymorph in this dataset is 1412 meV per atom. As for the crystal system: cubic. Its calculated formation energy is 1.7227 eV per atom.

The structure in extended XYZ format:
```
6
Lattice="0.000 5.652 5.652 5.652 0.000 5.652 5.652 5.652 0.000" Properties=species:S:1:pos:R:3 pbc="T T T"
Pd 0.000 0.000 0.000
Pd 2.826 2.826 0.000
Pd 2.826 0.000 2.826
Pd 0.000 2.826 2.826
Pt 1.413 1.413 1.413
Pt 9.891 9.891 9.891
```

8.
Here is a geometry-optimized RbPdPt structure from the Open Quantum Materials Database. Energies are from PBE.

Its energy above the most stable polymorph in this dataset is 532 meV per atom. As for the crystal system: cubic.

The structure in extended XYZ format:
```
3
Lattice="0.000 3.421 3.421 3.421 0.000 3.421 3.421 3.421 0.000" Properties=species:S:1:pos:R:3 pbc="T T T"
Rb 0.000 0.000 0.000
Pd 5.131 5.131 5.131
Pt 1.710 1.710 1.710
```